Entry 1:
Nd5Ni2Te | GGA-PBE | relaxed

Unit cell a=7.9916 b=7.9916 c=13.5512 alpha=90.00 beta=90.00 gamma=90.00
Space group I4/mcm (No. 140)
One atom of each set of equivalent atoms:
Nd 0.0000 0.0000 0.0000
Nd 0.1551 0.3449 0.1364
Ni 0.1291 0.3709 0.5000
Te 0.0000 0.0000 0.2500

Properties
Raw formation energy (meV per atom): -488
E_tot (eV/f.u.): -42.4
V (A^3/atom): 27.05
ρ (Mg/m³): 7.42

Entry 2:
NdNiTe | GGA-PBE | relaxed

Unit cell a=4.0087 b=4.0087 c=10.9707 alpha=90.00 beta=90.00 gamma=120.00
Space group P-6m2 (No. 187)
One atom of each set of equivalent atoms:
Nd 0.0000 0.0000 0.1627
Ni 0.0000 0.0000 0.5000
Ni 0.3333 0.6667 0.0000
Te 0.3333 0.6667 0.3577

Properties
Raw formation energy (meV per atom): -339
E_tot (eV/f.u.): -14.7
V (A^3/atom): 25.44
ρ (Mg/m³): 7.19

Entry 3:
Nd2NiTe | GGA-PBE | relaxed

Unit cell a=4.1951 b=4.1951 c=22.5090 alpha=90.00 beta=90.00 gamma=120.00
Space group R3m (No. 160, hexagonal axes)
One atom of each set of equivalent atoms:
Nd 0.0000 0.0000 0.0000
Nd 0.0000 0.0000 0.1957
Ni 0.0000 0.0000 0.5972
Te 0.0000 0.0000 0.4311

Properties
Raw formation energy (meV per atom): -778
E_tot (eV/f.u.): -21.6
V (A^3/atom): 28.59
ρ (Mg/m³): 6.89

Entry 4:
NdThNi | GGA-PBE | relaxed

Unit cell a=11.7961 b=20.3357 c=5.8019 alpha=90.00 beta=90.00 gamma=90.00
Space group Fdd2 (No. 43)
One atom of each set of equivalent atoms:
Nd 0.1059 0.2141 0.0000
Th 0.0640 0.0770 0.3278
Ni 0.0902 0.2021 0.5010

Properties
Calculated formation energy (meV per atom): 47
E_tot (eV/f.u.): -17.8
V (A^3/atom): 29.00
ρ (Mg/m³): 8.30

Entry 5:
Nd2ThNi9 | GGA-PBE | relaxed

Unit cell a=5.0205 b=5.0205 c=24.9865 alpha=90.00 beta=90.00 gamma=120.00
Space group R-3m (No. 166, hexagonal axes)
One atom of each set of equivalent atoms:
Nd 0.0000 0.0000 0.1392
Th 0.0000 0.0000 0.0000
Ni 0.0000 0.0000 0.3329
Ni 0.0000 0.0000 0.5000
Ni 0.0009 0.5005 0.0808

Properties
Calculated formation energy (meV per atom): -365
E_tot (eV/f.u.): -73.4
V (A^3/atom): 15.15
ρ (Mg/m³): 9.58

Entry 6:
NdTh2Ni | GGA-PBE | relaxed

Unit cell a=7.0951 b=9.9599 c=6.2866 alpha=90.00 beta=90.00 gamma=90.00
Space group Pnma (No. 62)
One atom of each set of equivalent atoms:
Nd 0.0455 0.2500 0.1559
Th 0.1853 0.0644 0.6526
Ni 0.1007 0.7500 0.3807

Properties
Calculated formation energy (meV per atom): -178
E_tot (eV/f.u.): -26.1
V (A^3/atom): 27.77
ρ (Mg/m³): 9.97